# 1
CaNdYTl: relaxed, GGA-PBE.

Cell: 5.586 5.586 5.586 Å, 60.00 60.00 60.00°
Atoms (fractional coordinates):
Ca (0.000, 0.000, 0.000)
Nd (0.250, 0.250, 0.250)
Y (0.750, 0.750, 0.750)
Tl (0.500, 0.500, 0.500)

Computed properties:
calculated density: 6.436 g/cm³
VASP energy: -3.994 eV/atom
total moment: 0.0 μB/f.u.
energy of formation: -0.38 eV/f.u.
space group: F-43m


# 2
CaNdY2Tl4: relaxed, GGA-PBE.

Cell: 9.472 9.472 9.472 Å, 33.30 33.30 33.30°
Atoms (fractional coordinates):
Ca (0.000, 0.000, 0.000)
Nd (0.500, 0.500, 0.500)
Y (0.252, 0.252, 0.252)
Y (0.748, 0.748, 0.748)
Tl (0.125, 0.125, 0.125)
Tl (0.375, 0.375, 0.375)
Tl (0.625, 0.625, 0.625)
Tl (0.875, 0.875, 0.875)

Computed properties:
calculated density: 8.592 g/cm³
VASP energy: -4.032 eV/atom
total moment: 0.0 μB/f.u.
energy of formation: -3.10 eV/f.u.
space group: R-3m